# 1
# Hf8TiSb2

Hf8TiSb2 after structural relaxation (PBE, the Alexandria database).

Output
* ρ: 11.52 g/cm³
* space-group type: C2/m (12)
* total DFT energy (no corrections): -8.751 eV/atom
* volume: 22.54 Å³ per atom
* formation energy from raw total energies: -0.045 eV/atom

a = 5.312 Å, b = 7.684 Å, c = 7.684 Å
α = 120.80°, β = 101.14°, γ = 101.14°
Fractional coordinates of all 11 atoms:
Hf (0.151, 0.315, 0.100)
Hf (0.849, 0.900, 0.685)
Sb (0.000, 0.699, 0.301)
Hf (0.304, 0.610, 0.610)
Hf (0.849, 0.685, 0.900)
Hf (0.696, 0.390, 0.390)
Hf (0.500, 0.788, 0.212)
Hf (0.151, 0.100, 0.315)
Hf (0.500, 0.212, 0.788)
Sb (0.000, 0.301, 0.699)
Ti (0.500, 0.000, 0.000)



# 2
# AcPm2Ru

AcPm2Ru after structural relaxation (PBE, the Alexandria database).

Output
* ρ: 8.30 g/cm³
* space-group type: Cmcm (63)
* total DFT energy (no corrections): -5.897 eV/atom
* energy of formation from the pure elements: -0.175 eV/atom
* volume: 30.92 Å³ per atom
* E above lowest polymorph: 0.014 eV/atom

a = 4.033 Å, b = 6.631 Å, c = 9.711 Å
α = 90.00°, β = 90.00°, γ = 107.71°
Fractional coordinates of all 8 atoms:
Pm (0.147, 0.295, 0.072)
Pm (0.853, 0.705, 0.928)
Ac (0.421, 0.842, 0.250)
Pm (0.853, 0.705, 0.572)
Ru (0.253, 0.506, 0.750)
Pm (0.147, 0.295, 0.428)
Ru (0.747, 0.494, 0.250)
Ac (0.579, 0.158, 0.750)



# 3
# Ba8Mg2Ag

Ba8Mg2Ag after structural relaxation (PBE, the Alexandria database).

Output
* ρ: 3.90 g/cm³
* space-group type: Immm (71)
* total DFT energy (no corrections): -1.916 eV/atom
* energy of formation from the pure elements: 0.032 eV/atom
* volume: 48.53 Å³ per atom
* E above lowest polymorph: 0.063 eV/atom

a = 6.037 Å, b = 10.653 Å, c = 10.315 Å
α = 121.09°, β = 107.02°, γ = 90.00°
Fractional coordinates of all 11 atoms:
Mg (0.198, 0.698, 0.397)
Ba (0.000, 0.333, 0.000)
Ba (0.656, 0.437, 0.313)
Ba (0.875, 0.875, 0.750)
Ba (0.000, 0.667, 0.000)
Ba (0.125, 0.125, 0.250)
Ag (0.500, 0.000, 0.000)
Ba (0.344, 0.563, 0.687)
Ba (0.656, 0.875, 0.313)
Mg (0.802, 0.302, 0.603)
Ba (0.344, 0.125, 0.687)



# 4
# La3Sm6YTm2

La3Sm6YTm2 after structural relaxation (PBE, the Alexandria database).

Output
* ρ: 7.14 g/cm³
* space-group type: C2/m (12)
* total DFT energy (no corrections): -4.852 eV/atom
* energy of formation from the pure elements: 0.024 eV/atom
* volume: 33.85 Å³ per atom

a = 6.294 Å, b = 6.294 Å, c = 12.033 Å
α = 95.01°, β = 95.01°, γ = 120.05°
Fractional coordinates of all 12 atoms:
Sm (0.254, 0.254, 0.757)
La (0.833, 0.167, 0.500)
La (0.500, 0.500, 0.500)
Sm (0.416, 0.081, 0.243)
Sm (0.584, 0.919, 0.757)
Tm (0.667, 0.333, 0.000)
Sm (0.746, 0.746, 0.243)
La (0.167, 0.833, 0.500)
Tm (0.333, 0.667, 0.000)
Sm (0.919, 0.584, 0.757)
Sm (0.081, 0.416, 0.243)
Y (0.000, 0.000, 0.000)



# 5
# CaSb2Se

CaSb2Se after structural relaxation (PBE, the Alexandria database).

Output
* ρ: 3.73 g/cm³
* space-group type: I-42d (122)
* total DFT energy (no corrections): -3.468 eV/atom
* volume: 40.32 Å³ per atom
* formation energy from raw total energies: -0.035 eV/atom

a = 6.799 Å, b = 6.799 Å, c = 8.474 Å
α = 66.35°, β = 66.35°, γ = 90.00°
Fractional coordinates of all 8 atoms:
Se (0.750, 0.250, 0.500)
Sb (0.667, 0.125, 0.250)
Sb (0.083, 0.625, 0.250)
Sb (0.875, 0.917, 0.750)
Ca (0.250, 0.750, 0.500)
Ca (0.500, 0.500, 0.000)
Sb (0.375, 0.333, 0.750)
Se (0.000, 0.000, 0.000)



# 6
# CaTcP2

CaTcP2 after structural relaxation (PBE, the Alexandria database).

Output
* ρ: 5.13 g/cm³
* space-group type: P4/mmm (123)
* total DFT energy (no corrections): -6.285 eV/atom
* energy of formation from the pure elements: -0.488 eV/atom
* volume: 16.19 Å³ per atom
* E above lowest polymorph: 0.100 eV/atom

a = 3.067 Å, b = 3.067 Å, c = 6.883 Å
α = 90.00°, β = 90.00°, γ = 90.00°
Fractional coordinates of all 4 atoms:
P (0.000, 0.000, 0.451)
Ca (0.500, 0.500, 0.750)
Tc (0.500, 0.500, 0.250)
P (0.000, 0.000, 0.049)